Record 1
Th3FePt12 | PBE | optimized geometry

a b c (Å): 4.1890 4.1890 16.4719
angles (deg): 90.00 90.00 90.00
With the nearest neighbours (Å) after each atom.
Atoms (fractional coordinates):
Th: 0.0000 0.0000 0.0000  12 Pt 2.96-2.99
Th: 0.0000 0.0000 0.2622  12 Pt 2.96-3.03
Th: 0.0000 0.0000 0.7378  12 Pt 2.96-3.03
Fe: 0.0000 0.0000 0.5000  12 Pt 2.77-2.96
Pt: 0.0000 0.5000 0.1296  8 Pt 2.96-2.99, 4 Th 2.99-3.03
Pt: 0.0000 0.5000 0.3898  8 Pt 2.77-3.01, 2 Fe 2.77, 2 Th 2.97
Pt: 0.0000 0.5000 0.6102  8 Pt 2.77-3.01, 2 Fe 2.77, 2 Th 2.97
Pt: 0.0000 0.5000 0.8704  8 Pt 2.96-2.99, 4 Th 2.99-3.03
Pt: 0.5000 0.0000 0.1296  8 Pt 2.96-2.99, 4 Th 2.99-3.03
Pt: 0.5000 0.0000 0.3898  8 Pt 2.77-3.01, 2 Fe 2.77, 2 Th 2.97
Pt: 0.5000 0.0000 0.6102  8 Pt 2.77-3.01, 2 Fe 2.77, 2 Th 2.97
Pt: 0.5000 0.0000 0.8704  8 Pt 2.96-2.99, 4 Th 2.99-3.03
Pt: 0.5000 0.5000 0.0000  4 Th 2.96, 8 Pt 2.99
Pt: 0.5000 0.5000 0.2585  4 Th 2.96, 8 Pt 2.98-3.01
Pt: 0.5000 0.5000 0.5000  8 Pt 2.77, 4 Fe 2.96
Pt: 0.5000 0.5000 0.7415  4 Th 2.96, 8 Pt 2.98-3.01

Results
DOS at the Fermi energy (states/eV/atom): 0.341
VASP energy (eV per atom): -7.31
Calculated volume (Å³/cell): 289
Spin magnetization (μB/f.u.): 4.7

***

Record 2
TmNbTcIr | PBE | optimized geometry

a b c (Å): 4.6266 4.6266 4.6266
angles (deg): 60.00 60.00 60.00
With the nearest neighbours (Å) after each atom.
Atoms (fractional coordinates):
Tm: 0.0000 0.0000 0.0000  4 Tc 2.83, 4 Ir 2.83
Nb: 0.5000 0.5000 0.5000  4 Tc 2.83, 4 Ir 2.83
Tc: 0.7500 0.7500 0.7500  4 Nb 2.83, 4 Tm 2.83
Ir: 0.2500 0.2500 0.2500  4 Nb 2.83, 4 Tm 2.83

Results
DOS at the Fermi energy (states/eV/atom): 0.431
VASP energy (eV per atom): -8.88
Calculated volume (Å³/cell): 70
Spin magnetization (μB/f.u.): 0.0

***

Record 3
FeSbSe2 | PBE | optimized geometry

a b c (Å): 7.4843 7.4843 7.4843
angles (deg): 150.49 150.49 42.23
With the nearest neighbours (Å) after each atom.
Atoms (fractional coordinates):
Fe: 0.0000 0.0000 0.0000  4 Se 2.70
Sb: 0.2500 0.7500 0.5000  4 Se 2.70
Se: 0.5000 0.5000 0.0000  4 Fe 2.70
Se: 0.7500 0.2500 0.5000  4 Sb 2.70

Results
DOS at the Fermi energy (states/eV/atom): 1.262
Calculated volume (Å³/cell): 101
Spin magnetization (μB/f.u.): 3.7
Formation energy (no corrections) (eV/atom): 0.4256